[1]
DFT (PBE-GGA) results for a relaxed LiAcPd crystal.

Structure (CIF):
```
data_LiAcPd
_chemical_formula_sum 'Li2 Ac2 Pd2'
_cell_length_a 4.276
_cell_length_b 4.276
_cell_length_c 8.147
_cell_angle_alpha 90.00
_cell_angle_beta 90.00
_cell_angle_gamma 90.00
_space_group_name_H-M_alt 'P 4/n m m'
_space_group_IT_number 129
loop_
_space_group_symop_operation_xyz
'x,y,z'
'-x,-y,-z'
'-y+1/2,x,z'
'y+1/2,-x,-z'
'-x+1/2,-y+1/2,z'
'x+1/2,y+1/2,-z'
'y,-x+1/2,z'
'-y,x+1/2,-z'
'x+1/2,-y,-z'
'-x+1/2,y,z'
'-y,-x,-z'
'y,x,z'
'-x,y+1/2,-z'
'x,-y+1/2,z'
'y+1/2,x+1/2,-z'
'-y+1/2,-x+1/2,z'
loop_
_atom_site_label
_atom_site_type_symbol
_atom_site_fract_x
_atom_site_fract_y
_atom_site_fract_z
Li1 Li 0.250 0.750 0.000
Ac1 Ac 0.250 0.250 0.329
Pd1 Pd 0.250 0.250 0.746
```

Energy above the most stable polymorph in this dataset   0 meV per atom
ρ   7586 kg/m3
Formation energy   -1.7 eV per formula unit
V   24.8 Å³/atom
DOS at the Fermi energy   0.488 states/eV/atom

[2]
DFT (PBE-GGA) results for a relaxed InHgRh2 crystal.

Structure (CIF):
```
data_InHgRh2
_chemical_formula_sum 'In1 Hg1 Rh2'
_cell_length_a 3.019
_cell_length_b 3.019
_cell_length_c 8.040
_cell_angle_alpha 90.00
_cell_angle_beta 90.00
_cell_angle_gamma 90.00
_space_group_name_H-M_alt 'P 4 m m'
_space_group_IT_number 99
loop_
_space_group_symop_operation_xyz
'x,y,z'
'-y,x,z'
'-x,-y,z'
'y,-x,z'
'-x,y,z'
'y,x,z'
'x,-y,z'
'-y,-x,z'
loop_
_atom_site_label
_atom_site_type_symbol
_atom_site_fract_x
_atom_site_fract_y
_atom_site_fract_z
In1 In 0.000 0.000 0.000
Hg1 Hg 0.500 0.500 0.676
Rh1 Rh 0.000 0.000 0.432
Rh2 Rh 0.500 0.500 0.227
```

ρ   11811 kg/m3
Formation energy   0.4 eV per formula unit
V   18.3 Å³/atom
DOS at the Fermi energy   0.939 states/eV/atom

[3]
DFT (PBE-GGA) results for a relaxed MnP4 crystal.

Structure (CIF):
```
data_MnP4
_chemical_formula_sum 'Mn6 P24'
_cell_length_a 5.108
_cell_length_b 5.851
_cell_length_c 16.343
_cell_angle_alpha 89.28
_cell_angle_beta 84.82
_cell_angle_gamma 64.40
_space_group_name_H-M_alt 'P -1'
_space_group_IT_number 2
loop_
_space_group_symop_operation_xyz
'x,y,z'
'-x,-y,-z'
loop_
_atom_site_label
_atom_site_type_symbol
_atom_site_fract_x
_atom_site_fract_y
_atom_site_fract_z
Mn1 Mn 0.001 0.317 0.406
Mn2 Mn 0.009 0.950 0.741
Mn3 Mn 0.371 0.620 0.925
P1 P 0.065 0.072 0.117
P2 P 0.117 0.634 0.451
P3 P 0.129 0.996 0.610
P4 P 0.134 0.359 0.272
P5 P 0.156 0.252 0.770
P6 P 0.191 0.692 0.056
P7 P 0.218 0.326 0.900
P8 P 0.426 0.741 0.274
P9 P 0.443 0.027 0.435
P10 P 0.444 0.648 0.781
P11 P 0.453 0.379 0.600
P12 P 0.488 0.073 0.065
```

ρ   4064 kg/m3
Formation energy   -1.8 eV per formula unit
V   14.6 Å³/atom

What did the second record say?
DFT (PBE-GGA) results for a relaxed InHgRh2 crystal.

Structure (CIF):
```
data_InHgRh2
_chemical_formula_sum 'In1 Hg1 Rh2'
_cell_length_a 3.019
_cell_length_b 3.019
_cell_length_c 8.040
_cell_angle_alpha 90.00
_cell_angle_beta 90.00
_cell_angle_gamma 90.00
_space_group_name_H-M_alt 'P 4 m m'
_space_group_IT_number 99
loop_
_space_group_symop_operation_xyz
'x,y,z'
'-y,x,z'
'-x,-y,z'
'y,-x,z'
'-x,y,z'
'y,x,z'
'x,-y,z'
'-y,-x,z'
loop_
_atom_site_label
_atom_site_type_symbol
_atom_site_fract_x
_atom_site_fract_y
_atom_site_fract_z
In1 In 0.000 0.000 0.000
Hg1 Hg 0.500 0.500 0.676
Rh1 Rh 0.000 0.000 0.432
Rh2 Rh 0.500 0.500 0.227
```

ρ   11811 kg/m3
Formation energy   0.4 eV per formula unit
V   18.3 Å³/atom
DOS at the Fermi energy   0.939 states/eV/atom

Q: Which of these has the lowest V?
A: MnP4

Q: formation energy of number 2 (InHgRh2)?
A: 0.4 eV per formula unit